No. 1
A plane-wave DFT calculation with PBE was carried out for a geometry-optimized LiInIr2 structure.

Lattice parameters (Å, degrees): 8.8854 2.8630 4.9293 90.00 100.05 90.00
Element x y z (fractional)
Li 0.0000 0.0000 0.0000
Li 0.5000 0.5000 0.0000
In 0.0000 0.5000 0.5000
In 0.5000 0.0000 0.5000
Ir 0.2491 0.5000 0.2247
Ir 0.2509 0.0000 0.7753
Ir 0.7491 0.0000 0.2247
Ir 0.7509 0.5000 0.7753

* E_form: -0.106 eV per atom
* V: 15.434 Å³/atom
* electronic total energy: -5.6998 eV/atom

***

No. 2
A plane-wave DFT calculation with PBE was carried out for a geometry-optimized LiInIr2 structure.

Lattice parameters (Å, degrees): 5.4571 7.9836 2.8775 90.00 90.00 90.00
Element x y z (fractional)
Li 0.0000 0.0000 0.0000
Li 0.5000 0.5000 0.0000
In 0.0000 0.5000 0.0000
In 0.5000 0.0000 0.0000
Ir 0.2500 0.2500 0.5000
Ir 0.2500 0.7500 0.5000
Ir 0.7500 0.2500 0.5000
Ir 0.7500 0.7500 0.5000

* E_form: 0.041 eV per atom
* V: 15.671 Å³/atom
* electronic total energy: -5.5530 eV/atom

***

No. 3
A plane-wave DFT calculation with PBE was carried out for a geometry-optimized LiInIr2 structure.

Lattice parameters (Å, degrees): 3.0686 3.0686 6.3383 90.00 90.00 90.00
Element x y z (fractional)
Li 0.0000 0.0000 0.0000
In 0.5000 0.5000 0.2555
Ir 0.0000 0.0000 0.5320
Ir 0.5000 0.5000 0.8038

* E_form: 0.055 eV per atom
* V: 14.920 Å³/atom
* electronic total energy: -5.5386 eV/atom

***

No. 4
A plane-wave DFT calculation with PBE was carried out for a geometry-optimized LiInIr structure.

Lattice parameters (Å, degrees): 4.7346 7.9696 5.4295 90.00 90.00 90.00
Element x y z (fractional)
Li 0.0000 0.0000 0.0000
Li 0.0000 0.0000 0.5000
Li 0.5000 0.5000 0.0000
Li 0.5000 0.5000 0.5000
In 0.0000 0.3460 0.2500
In 0.0000 0.6540 0.7500
In 0.5000 0.1540 0.7500
In 0.5000 0.8460 0.2500
Ir 0.0000 0.3134 0.7500
Ir 0.0000 0.6866 0.2500
Ir 0.5000 0.1866 0.2500
Ir 0.5000 0.8134 0.7500

* E_form: -0.144 eV per atom
* V: 17.072 Å³/atom
* electronic total energy: -4.6487 eV/atom

***

No. 5
A plane-wave DFT calculation with PBE was carried out for a geometry-optimized Li2InIr4 structure.

Lattice parameters (Å, degrees): 4.8357 4.8357 12.5052 90.00 90.00 90.00
Element x y z (fractional)
Li 0.0000 0.0000 0.0999
Li 0.0000 0.0000 0.9001
Li 0.5000 0.5000 0.4001
Li 0.5000 0.5000 0.5999
In 0.0000 0.0000 0.5000
In 0.5000 0.5000 0.0000
Ir 0.0000 0.0000 0.2955
Ir 0.0000 0.0000 0.7045
Ir 0.0000 0.5000 0.0000
Ir 0.0000 0.5000 0.5000
Ir 0.5000 0.0000 0.0000
Ir 0.5000 0.0000 0.5000
Ir 0.5000 0.5000 0.2045
Ir 0.5000 0.5000 0.7955

* E_form: 1.700 eV per atom
* V: 20.887 Å³/atom
* electronic total energy: -4.3015 eV/atom

***

No. 6
A plane-wave DFT calculation with PBE was carried out for a geometry-optimized Li6In2Ir structure.

Lattice parameters (Å, degrees): 7.7095 7.7095 3.1504 92.80 92.80 122.38
Element x y z (fractional)
Li 0.0098 0.3311 0.3973
Li 0.2128 0.2128 0.9183
Li 0.3311 0.0098 0.3973
Li 0.6689 0.9902 0.6027
Li 0.7872 0.7872 0.0817
Li 0.9902 0.6689 0.6027
In 0.3319 0.6681 0.0000
In 0.6681 0.3319 0.0000
Ir 0.5000 0.5000 0.5000

* E_form: -0.151 eV per atom
* V: 17.480 Å³/atom
* electronic total energy: -3.0200 eV/atom